VASP calculation (meta-GGA SCAN) on SrAs4Ru at its PBEsol-relaxed geometry.

a b c (Å): 5.542 5.542 5.542
angles (deg): 60.00 60.00 60.00
Atoms (fractional coordinates):
Ru 0.750 0.750 0.750
As 0.377 0.377 0.377
As 0.377 0.377 0.869
As 0.869 0.377 0.377
As 0.377 0.869 0.377
Sr 0.000 0.000 0.000

formation energy from the elements	1.5	eV/f.u.
space group	No. 216

VASP calculation (meta-GGA SCAN) on SrAsRu at its PBEsol-relaxed geometry.

a b c (Å): 4.123 4.123 4.644
angles (deg): 90.00 90.00 120.00
Atoms (fractional coordinates):
Ru 0.333 0.667 0.000
As 0.000 0.000 0.000
Sr 0.667 0.333 0.500

formation energy from the elements	-1.6	eV/f.u.
space group	No. 187

VASP calculation (meta-GGA SCAN) on Sr2AsRu at its PBEsol-relaxed geometry.

a b c (Å): 3.593 3.593 9.249
angles (deg): 78.80 78.80 60.00
Atoms (fractional coordinates):
Ru 0.000 0.000 0.000
As 0.500 0.500 0.500
Sr 0.254 0.254 0.238
Sr 0.746 0.746 0.762

formation energy from the elements	0.9	eV/f.u.
space group	No. 166

VASP calculation (meta-GGA SCAN) on Sr2AsRu at its PBEsol-relaxed geometry.

a b c (Å): 4.948 4.948 4.948
angles (deg): 60.00 60.00 60.00
Atoms (fractional coordinates):
Ru 0.250 0.250 0.250
As 0.500 0.500 0.500
Sr 0.000 0.000 0.000
Sr 0.750 0.750 0.750

formation energy from the elements	0.4	eV/f.u.
space group	No. 216

- What is the formula in the first record?
  SrAs4Ru

- Look up the formation energy from the elements of the third one.
  0.9 eV/f.u.